[1]
Below is TbDy8Sb6 after structural relaxation, with properties calculated at the PBE level.

E_form (uncorrected) ... -0.7569 eV per atom
V ... 459 Å³ per cell
Total magnetic moment ... 0.00 μB/cell
Total DFT energy (no corrections) ... -5.169 eV per atom

Lattice parameters (Å, degrees): 7.991 7.991 9.497 65.12 65.12 60.00
Fractional positions:
Dy1 0.789 0.122 0.634
Dy2 0.546 0.211 0.366
Sb1 0.067 0.733 0.798
Dy3 0.454 0.789 0.634
Dy4 0.667 0.667 0.000
Dy5 0.333 0.333 0.000
Dy6 0.211 0.878 0.366
Tb1 0.000 0.000 0.000
Sb2 0.598 0.933 0.202
Sb3 0.267 0.598 0.202
Sb4 0.402 0.067 0.798
Dy7 0.878 0.546 0.366
Sb5 0.933 0.267 0.202
Sb6 0.733 0.402 0.798
Dy8 0.122 0.454 0.634

[2]
Below is DyHfZnCu after structural relaxation, with properties calculated at the PBE level.

V ... 78 Å³ per cell
Total magnetic moment ... 0.97 μB/cell
Total DFT energy (no corrections) ... -5.101 eV per atom
ΔH_f (0 K) ... -120 meV per atom

Lattice parameters (Å, degrees): 4.800 4.800 4.800 60.00 60.00 60.00
Fractional positions:
Hf1 0.500 0.500 0.500
Cu1 0.250 0.250 0.250
Dy1 0.000 0.000 0.000
Zn1 0.750 0.750 0.750

[3]
Below is MnZnSn3 after structural relaxation, with properties calculated at the PBE level.

V ... 149 Å³ per cell
Total magnetic moment ... 4.71 μB/cell
ΔE to the lowest computed polymorph ... 469.2 meV/atom
Total DFT energy (no corrections) ... -3.792 eV per atom
ΔH_f (0 K) ... 698 meV per atom

Lattice parameters (Å, degrees): 5.297 5.297 5.297 90.00 90.00 90.00
Fractional positions:
Sn1 0.000 0.500 0.000
Mn1 0.500 0.500 0.500
Sn2 0.000 0.000 0.500
Sn3 0.500 0.000 0.000
Zn1 0.000 0.000 0.000

[4]
Below is NaSrAgO2 after structural relaxation, with properties calculated at the PBE level.

E_form (uncorrected) ... -1.4287 eV per atom
V ... 171 Å³ per cell
Total magnetic moment ... 0.00 μB/cell
Total DFT energy (no corrections) ... -4.582 eV per atom

Lattice parameters (Å, degrees): 4.413 6.034 6.539 100.70 90.00 90.00
Fractional positions:
Sr1 0.271 0.500 0.750
O1 0.298 0.729 0.461
O2 0.298 0.271 0.039
O3 0.702 0.729 0.961
Ag1 0.000 0.000 0.000
Na1 0.485 0.000 0.250
Sr2 0.729 0.500 0.250
O4 0.702 0.271 0.539
Ag2 0.000 0.000 0.500
Na2 0.515 0.000 0.750

[5]
Below is MgNi14Rh after structural relaxation, with properties calculated at the PBE level.

V ... 183 Å³ per cell
Total magnetic moment ... 9.48 μB/cell
Total DFT energy (no corrections) ... -5.619 eV per atom
ΔH_f (0 K) ... -1 meV per atom

Lattice parameters (Å, degrees): 5.064 5.064 8.264 90.00 90.00 120.23
Fractional positions:
Ni1 0.041 0.457 0.500
Rh1 0.042 0.958 0.500
Ni2 0.372 0.628 0.755
Ni3 0.874 0.126 0.249
Ni4 0.375 0.122 0.758
Ni5 0.874 0.126 0.751
Ni6 0.208 0.292 0.000
Mg1 0.542 0.458 0.500
Ni7 0.209 0.791 0.000
Ni8 0.375 0.122 0.242
Ni9 0.878 0.625 0.758
Ni10 0.543 0.959 0.500
Ni11 0.709 0.291 0.000
Ni12 0.708 0.792 0.000
Ni13 0.878 0.625 0.242
Ni14 0.372 0.628 0.245

[6]
Below is HfCoS2I after structural relaxation, with properties calculated at the PBE level.

E_form (uncorrected) ... 0.1667 eV per atom
V ... 100 Å³ per cell
Total magnetic moment ... 0.95 μB/cell
Total DFT energy (no corrections) ... -5.206 eV per atom

Lattice parameters (Å, degrees): 4.364 5.251 4.364 90.00 90.00 90.00
Fractional positions:
I1 0.500 0.500 0.500
S1 0.500 0.000 0.000
S2 0.000 0.000 0.500
Hf1 0.000 0.500 0.000
Co1 0.000 0.000 0.000